Entry 1:
Here is a PBEsol-optimized structure of InRe3Pb from Alexandria via LeMat-Bulk. Energies are from meta-GGA SCAN.

Cell: 4.840 4.840 4.840 Å, 90.00 90.00 90.00°
Sites, in units of the cell vectors:
In 0.000 0.000 0.000
Re 0.000 0.000 0.500
Re 0.000 0.500 0.000
Re 0.500 0.000 0.000
Pb 0.500 0.500 0.500

Calculated values
Formation energy: 14.72 eV per formula unit
Space-group type: Pm-3m (221)

Entry 2:
Here is a PBEsol-optimized structure of InRePb from Alexandria via LeMat-Bulk. Energies are from meta-GGA SCAN.

Cell: 4.583 4.583 4.583 Å, 60.00 60.00 60.00°
Sites, in units of the cell vectors:
In 0.000 0.000 0.000
Re 0.250 0.250 0.250
Pb 0.500 0.500 0.500

Calculated values
Formation energy: 2.80 eV per formula unit
Space-group type: F-43m (216)

Entry 3:
Here is a PBEsol-optimized structure of InRhPb3 from Alexandria via LeMat-Bulk. Energies are from meta-GGA SCAN.

Cell: 5.475 5.475 5.475 Å, 90.00 90.00 90.00°
Sites, in units of the cell vectors:
In 0.000 0.000 0.000
Rh 0.500 0.500 0.500
Pb 0.000 0.000 0.500
Pb 0.000 0.500 0.000
Pb 0.500 0.000 0.000

Calculated values
Formation energy: 5.89 eV per formula unit
Space-group type: Pm-3m (221)

Entry 4:
Here is a PBEsol-optimized structure of InRuPb3 from Alexandria via LeMat-Bulk. Energies are from meta-GGA SCAN.

Cell: 5.513 5.513 5.513 Å, 90.00 90.00 90.00°
Sites, in units of the cell vectors:
In 0.000 0.000 0.000
Ru 0.500 0.500 0.500
Pb 0.000 0.000 0.500
Pb 0.000 0.500 0.000
Pb 0.500 0.000 0.000

Calculated values
Formation energy: 6.67 eV per formula unit
Space-group type: Pm-3m (221)

Entry 5:
Here is a PBEsol-optimized structure of In2RuPb from Alexandria via LeMat-Bulk. Energies are from meta-GGA SCAN.

Cell: 5.017 5.017 5.496 Å, 104.65 104.65 40.07°
Sites, in units of the cell vectors:
In 0.228 0.228 0.202
In 0.772 0.772 0.798
Ru 0.500 0.500 0.000
Pb 0.000 0.000 0.500

Calculated values
Formation energy: 1.39 eV per formula unit
Space-group type: C2/m (12)

Entry 6:
Here is a PBEsol-optimized structure of InRuPb2 from Alexandria via LeMat-Bulk. Energies are from meta-GGA SCAN.

Cell: 9.996 9.996 9.996 Å, 18.96 18.96 18.96°
Sites, in units of the cell vectors:
In 0.000 0.000 0.000
Ru 0.733 0.733 0.733
Pb 0.238 0.238 0.238
Pb 0.468 0.468 0.468

Calculated values
Formation energy: 1.22 eV per formula unit
Space-group type: R3m (160)

Entry 7:
Here is a PBEsol-optimized structure of InRuPb2 from Alexandria via LeMat-Bulk. Energies are from meta-GGA SCAN.

Cell: 5.377 5.377 5.377 Å, 130.50 130.50 72.60°
Sites, in units of the cell vectors:
In 0.000 0.000 0.000
Ru 0.250 0.750 0.500
Pb 0.500 0.500 0.000
Pb 0.750 0.250 0.500

Calculated values
Formation energy: 2.47 eV per formula unit
Space-group type: I-4m2 (119)

Entry 8:
Here is a PBEsol-optimized structure of InRuPb2 from Alexandria via LeMat-Bulk. Energies are from meta-GGA SCAN.

Cell: 3.260 3.260 8.558 Å, 90.00 90.00 90.00°
Sites, in units of the cell vectors:
In 0.000 0.000 0.000
Ru 0.500 0.500 0.825
Pb 0.000 0.000 0.623
Pb 0.500 0.500 0.291

Calculated values
Formation energy: 0.77 eV per formula unit
Space-group type: P4mm (99)

Entry 9:
Here is a PBEsol-optimized structure of InRuPb2 from Alexandria via LeMat-Bulk. Energies are from meta-GGA SCAN.

Cell: 3.276 3.276 8.536 Å, 90.00 90.00 90.00°
Sites, in units of the cell vectors:
In 0.000 0.000 0.000
Ru 0.000 0.000 0.500
Pb 0.500 0.500 0.302
Pb 0.500 0.500 0.698

Calculated values
Formation energy: 1.12 eV per formula unit
Space-group type: P4/mmm (123)

Entry 10:
Here is a PBEsol-optimized structure of InRuPb2 from Alexandria via LeMat-Bulk. Energies are from meta-GGA SCAN.

Cell: 4.948 4.948 3.603 Å, 90.00 90.00 90.00°
Sites, in units of the cell vectors:
In 0.000 0.000 0.000
Ru 0.500 0.500 0.000
Pb 0.000 0.500 0.500
Pb 0.500 0.000 0.500

Calculated values
Formation energy: 2.56 eV per formula unit
Space-group type: P4/mmm (123)

Entry 11:
Here is a PBEsol-optimized structure of In2PbS4 from Alexandria via LeMat-Bulk. Energies are from meta-GGA SCAN.

Cell: 11.589 3.838 13.707 Å, 90.00 90.00 90.00°
Sites, in units of the cell vectors:
In 0.066 0.250 0.109
In 0.080 0.250 0.600
In 0.420 0.750 0.100
In 0.434 0.750 0.609
In 0.566 0.250 0.391
In 0.580 0.250 0.900
In 0.920 0.750 0.400
In 0.934 0.750 0.891
Pb 0.241 0.250 0.336
Pb 0.259 0.750 0.836
Pb 0.741 0.250 0.164
Pb 0.759 0.750 0.664
S 0.030 0.750 0.718
S 0.091 0.250 0.925
S 0.126 0.750 0.472
S 0.206 0.750 0.165
S 0.294 0.250 0.665
S 0.374 0.250 0.972
S 0.409 0.750 0.425
S 0.470 0.250 0.218
S 0.530 0.750 0.782
S 0.591 0.250 0.575
S 0.626 0.750 0.028
S 0.706 0.750 0.335
S 0.794 0.250 0.835
S 0.874 0.250 0.528
S 0.909 0.750 0.075
S 0.970 0.250 0.282

Calculated values
Formation energy without anion corrections: -15.19 kcal/mol of atoms
Space-group type: Pnma (62)

Entry 12:
Here is a PBEsol-optimized structure of In2PbS2 from Alexandria via LeMat-Bulk. Energies are from meta-GGA SCAN.

Cell: 8.102 8.102 8.102 Å, 151.44 151.44 40.83°
Sites, in units of the cell vectors:
In 0.250 0.750 0.500
In 0.750 0.250 0.500
Pb 0.000 0.000 0.000
S 0.406 0.406 0.000
S 0.594 0.594 0.000

Calculated values
Formation energy without anion corrections: -0.52 kcal/mol of atoms
Space-group type: I4/mmm (139)

| no. | total magnetization (μB/cell) |
| --- | --- |
| 1 | 3.33 |
| 2 | 0.00 |
| 3 | 0.01 |
| 4 | 2.27 |
| 5 | 0.00 |
| 6 | 0.00 |
| 7 | 0.01 |
| 8 | 0.00 |
| 9 | 0.00 |
| 10 | 0.00 |
| 11 | 0.00 |
| 12 | 0.00 |